Record 1
Entry from Alexandria: a geometry-optimized LiErInSn structure (PBE).

Cell and atoms, written as extended XYZ:
```
4
Lattice="0.000 3.631 3.631 3.631 0.000 3.631 3.631 3.631 0.000" Properties=species:S:1:pos:R:3 pbc="T T T"
Li 0.000 0.000 0.000
Er 3.631 3.631 3.631
In 5.446 5.446 5.446
Sn 1.815 1.815 1.815
```

Results
The density of states at the Fermi level is 2.36 states/eV/f.u. The calculation puts the theoretical density at 7.1 g/cm3. The formation enthalpy at 0 K comes out at -0.383 eV/atom. The calculation puts the distance to the lowest polymorph of the same formula at 2.35 kcal/mol of atoms. Its space group is F-43m, No. 216.

Record 2
Entry from Alexandria: a geometry-optimized Be6Co5Ir structure (PBE).

Cell and atoms, written as extended XYZ:
```
12
Lattice="1.859 -5.591 0.000 1.859 5.591 0.000 0.000 0.000 5.299" Properties=species:S:1:pos:R:3 pbc="T T T"
Be 0.000 0.000 1.253
Be 0.000 0.000 4.045
Be 1.859 1.887 1.278
Be 1.859 1.887 4.021
Be 1.859 -1.887 1.278
Be 1.859 -1.887 4.021
Co 1.859 3.714 0.000
Co 1.859 3.678 2.649
Co 1.859 0.000 0.000
Co 1.859 -3.678 2.649
Co 1.859 -3.714 0.000
Ir 1.859 0.000 2.649
```

Results
The density of states at the Fermi level is 11.12 states/eV/f.u. The calculation puts the theoretical density at 8.2 g/cm3. The formation enthalpy at 0 K comes out at -0.349 eV/atom. Its space group is Cmmm, No. 65.

Record 3
Entry from Alexandria: a geometry-optimized Tb2ThGe structure (PBE).

Cell and atoms, written as extended XYZ:
```
4
Lattice="1.757 1.015 11.466 -1.757 1.015 11.466 0.000 -2.029 11.466" Properties=species:S:1:pos:R:3 pbc="T T T"
Tb 0.000 0.000 2.905
Tb 0.000 0.000 31.495
Th 0.000 0.000 17.200
Ge 0.000 0.000 0.000
```

Results
The density of states at the Fermi level is 3.92 states/eV/f.u. The calculation puts the theoretical density at 8.4 g/cm3. The formation enthalpy at 0 K comes out at 0.142 eV/atom. Its space group is R-3m, No. 166.

Record 4
Entry from Alexandria: a geometry-optimized Ba2Ge4Pd3Pt structure (PBE).

Cell and atoms, written as extended XYZ:
```
10
Lattice="4.514 0.000 0.000 0.000 4.514 0.000 0.000 0.000 10.585" Properties=species:S:1:pos:R:3 pbc="T T T"
Ba 0.000 2.257 2.602
Ba 2.257 0.000 7.983
Ge 0.000 0.000 0.000
Ge 0.000 2.257 6.537
Ge 2.257 0.000 4.047
Ge 2.257 2.257 0.000
Pd 0.000 2.257 9.270
Pd 2.257 0.000 1.315
Pd 2.257 2.257 5.292
Pt 0.000 0.000 5.292
```

Results
The density of states at the Fermi level is 5.30 states/eV/f.u. The calculation puts the theoretical density at 8.3 g/cm3. The formation enthalpy at 0 K comes out at -0.675 eV/atom. Its space group is P-4m2, No. 115.

Which value of theoretical density does entry 1 give?
7.1 g/cm3

Number 2 is which compound?
Be6Co5Ir

Look up the theoretical density of the fourth one.
8.3 g/cm3